[1]
# Mg3MoOs

Crystalline Mg3MoOs at its relaxed geometry (PBE, Alexandria).

Unit cell a=4.9263 b=4.9263 c=4.9263 alpha=90.00 beta=90.00 gamma=90.00
With the nearest neighbours (Å) after each atom.
Fractional positions:
Mo  0.5000  0.5000  0.5000  12 Mg 3.48
Os  0.0000  0.0000  0.0000  6 Mg 2.46
Mg  0.0000  0.5000  0.0000  2 Os 2.46
Mg  0.0000  0.0000  0.5000  2 Os 2.46
Mg  0.5000  0.0000  0.0000  2 Os 2.46

Calculated values
Offset from the most stable computed form = 0 meV/atom
Space group = Pm-3m (221)
Total DFT energy (no corrections) = -4.1510 eV/atom

[2]
# Mg2MoOs

Crystalline Mg2MoOs at its relaxed geometry (PBE, Alexandria).

Unit cell a=2.7426 b=4.4755 c=5.3049 alpha=90.00 beta=90.00 gamma=90.00
With the nearest neighbours (Å) after each atom.
Fractional positions:
Mg  0.0000  0.0000  0.9963  4 Mg 2.61-2.74
Mg  0.0000  0.0000  0.5037  4 Mg 2.61-2.74
Mo  0.5000  0.5000  0.2500  2 Os 2.65, 2 Mo 2.74, 8 Mg 2.95
Os  0.5000  0.5000  0.7500  2 Mo 2.65, 2 Os 2.74, 8 Mg 2.93

Calculated values
Offset from the most stable computed form = 305 meV/atom
Space group = Pmmm (47)
Total DFT energy (no corrections) = -5.9700 eV/atom

[3]
# Mg3MoOs

Crystalline Mg3MoOs at its relaxed geometry (PBE, Alexandria).

Unit cell a=4.9725 b=4.9725 c=4.9725 alpha=90.00 beta=90.00 gamma=90.00
With the nearest neighbours (Å) after each atom.
Fractional positions:
Mo  0.0000  0.0000  0.0000  6 Mg 2.49
Os  0.5000  0.5000  0.5000  12 Mg 3.52
Mg  0.0000  0.5000  0.0000  2 Mo 2.49
Mg  0.0000  0.0000  0.5000  2 Mo 2.49
Mg  0.5000  0.0000  0.0000  2 Mo 2.49

Calculated values
Offset from the most stable computed form = 800 meV/atom
Space group = Pm-3m (221)
Total DFT energy (no corrections) = -3.3513 eV/atom

[4]
# Mg2MoOs

Crystalline Mg2MoOs at its relaxed geometry (PBE, Alexandria).

Unit cell a=2.7933 b=2.7933 c=9.4793 alpha=90.00 beta=90.00 gamma=112.74
With the nearest neighbours (Å) after each atom.
Fractional positions:
Mg  0.0000  0.0000  0.9796  2 Os 2.75, 4 Mg 2.79
Mg  0.5000  0.5000  0.2633  8 Mg 2.79-3.10, 2 Mo 2.86
Mo  0.0000  0.0000  0.5172  2 Os 2.62, 4 Mo 2.79, 2 Mg 2.86
Os  0.5000  0.5000  0.7400  2 Mo 2.62, 2 Mg 2.75, 4 Os 2.79

Calculated values
Offset from the most stable computed form = 224 meV/atom
Space group = Cmm2 (35)
Total DFT energy (no corrections) = -6.0506 eV/atom

[5]
# MgMoOs3

Crystalline MgMoOs3 at its relaxed geometry (PBE, Alexandria).

Unit cell a=4.3693 b=4.3693 c=4.3693 alpha=90.00 beta=90.00 gamma=90.00
With the nearest neighbours (Å) after each atom.
Fractional positions:
Mo  0.5000  0.5000  0.5000  12 Os 3.09
Os  0.0000  0.5000  0.0000  2 Mg 2.18
Os  0.0000  0.0000  0.5000  2 Mg 2.18
Os  0.5000  0.0000  0.0000  2 Mg 2.18
Mg  0.0000  0.0000  0.0000  6 Os 2.18

Calculated values
Offset from the most stable computed form = 298 meV/atom
Space group = Pm-3m (221)
Total DFT energy (no corrections) = -7.0811 eV/atom

[6]
# Mg2MoOs

Crystalline Mg2MoOs at its relaxed geometry (PBE, Alexandria).

Unit cell a=4.3996 b=2.8155 c=5.5099 alpha=79.03 beta=90.00 gamma=90.00
With the nearest neighbours (Å) after each atom.
Fractional positions:
Mg  0.0000  0.9734  0.9952  3 Mo 2.76-3.05, 4 Mg 2.82, 2 Os 2.82
Mg  0.5000  0.2650  0.2514  2 Os 2.76-2.94, 4 Mg 2.82, 2 Mo 2.87
Mo  0.0000  0.5428  0.5284  2 Os 2.54, 1 Mg 2.76, 2 Mo 2.82
Os  0.5000  0.7189  0.7249  2 Mo 2.54, 3 Mg 2.76-2.82, 2 Os 2.82

Calculated values
Offset from the most stable computed form = 179 meV/atom
Space group = Pm (6)
Total DFT energy (no corrections) = -6.0955 eV/atom

[7]
# Mg2MoOs

Crystalline Mg2MoOs at its relaxed geometry (PBE, Alexandria).

Unit cell a=7.3169 b=7.3169 c=5.8027 alpha=50.92 beta=50.92 gamma=90.00
With the nearest neighbours (Å) after each atom.
Fractional positions:
Mo  0.5000  0.5000  0.0000  2 Os 2.63, 4 Mg 2.74
Mo  0.2500  0.7500  0.5000  2 Os 2.63, 4 Mg 2.74
Os  0.0000  0.0000  0.0000  4 Mg 2.60, 2 Mo 2.63
Os  0.7500  0.2500  0.5000  4 Mg 2.60, 2 Mo 2.63
Mg  0.6387  0.1250  0.2500  2 Os 2.60, 2 Mg 2.64, 2 Mo 2.74
Mg  0.1113  0.6250  0.2500  2 Os 2.60, 2 Mg 2.64, 2 Mo 2.74
Mg  0.3750  0.3613  0.7500  2 Os 2.60, 2 Mg 2.64, 2 Mo 2.74
Mg  0.8750  0.8887  0.7500  2 Os 2.60, 2 Mg 2.64, 2 Mo 2.74

Calculated values
Offset from the most stable computed form = 890 meV/atom
Space group = I-42d (122)
Total DFT energy (no corrections) = -5.3844 eV/atom

[8]
# Mg2MoOs

Crystalline Mg2MoOs at its relaxed geometry (PBE, Alexandria).

Unit cell a=4.5216 b=4.5216 c=4.5216 alpha=60.00 beta=60.00 gamma=60.00
With the nearest neighbours (Å) after each atom.
Fractional positions:
Mo  0.0000  0.0000  0.0000  8 Mg 2.77
Os  0.5000  0.5000  0.5000  8 Mg 2.77
Mg  0.2500  0.2500  0.2500  4 Os 2.77, 4 Mo 2.77
Mg  0.7500  0.7500  0.7500  4 Os 2.77, 4 Mo 2.77

Calculated values
Offset from the most stable computed form = 618 meV/atom
Space group = Fm-3m (225)
Total DFT energy (no corrections) = -5.6565 eV/atom

It is found that the M_tot values, taken in the order of the records, are 0.825, 0.031, 0.924, 0.000, 0.000, 0.000, 0.000, 0.548 μB per atom.
It is found that the V values, taken in the order of the records, are 120, 65, 123, 68, 83, 67, 70, 65 Å³/f.u..
It is found that the theoretical density values, taken in the order of the records, are 4.99, 8.54, 4.85, 8.15, 13.76, 8.30, 7.90, 8.50 g/cm3.